Entry 1:
A geometry-optimized Zr6C2N3 structure, computed with PBE-GGA.

Cell: 5.4987 5.6386 5.6386 Å, 120.00 90.00 90.00°
Last column: nearest neighbours and their distance in Å.
Sites, in units of the cell vectors:
1 Zr 0.2560 0.0000 0.3398  2 C 2.29, 3 N 2.33-2.34
2 N 0.9999 0.6667 0.3333  6 Zr 2.33
3 N 0.5000 0.0000 0.0000  6 Zr 2.34
4 C 0.5000 0.6667 0.3333  6 Zr 2.29
5 Zr 0.2560 0.3398 0.0000  2 C 2.29, 3 N 2.33-2.34
6 Zr 0.7440 0.3398 0.3398  2 C 2.29, 3 N 2.33-2.34
7 N 0.0001 0.3333 0.6667  6 Zr 2.33
8 Zr 0.7440 0.0000 0.6602  2 C 2.29, 3 N 2.33-2.34
9 Zr 0.2560 0.6602 0.6602  2 C 2.29, 3 N 2.33-2.34
10 Zr 0.7440 0.6602 0.0000  2 C 2.29, 3 N 2.33-2.34
11 C 0.5000 0.3333 0.6667  6 Zr 2.29

ΔE_f (raw)	-116.2	kJ/mol of atoms
crystal system	trigonal


Entry 2:
A geometry-optimized KAsWBr2 structure, computed with PBE-GGA.

Cell: 5.4840 5.4840 4.8574 Å, 90.00 90.00 90.00°
Last column: nearest neighbours and their distance in Å.
Sites, in units of the cell vectors:
1 K 0.5000 0.5000 0.5000  8 Br 3.66, 4 As 3.88
2 Br 0.5000 0.0000 0.0000  2 W 2.74
3 As 0.0000 0.0000 0.5000  2 W 2.43
4 W 0.0000 0.0000 0.0000  2 As 2.43
5 Br 0.0000 0.5000 0.0000  2 W 2.74

ΔE_f (raw)	-17.6	kJ/mol of atoms
crystal system	tetragonal
distance to the lowest polymorph of the same formula	0.0000	eV/atom


Entry 3:
A geometry-optimized LiLa12In3 structure, computed with PBE-GGA.

Cell: 5.0764 5.0764 20.3299 Å, 90.00 90.00 90.00°
Last column: nearest neighbours and their distance in Å.
Sites, in units of the cell vectors:
1 La 0.5000 0.5000 0.2500  8 La 3.55-3.60, 4 In 3.59
2 La 0.5000 0.0000 0.6247  8 La 3.59-3.60, 4 In 3.59-3.60
3 La 0.5000 0.0000 0.1278  8 La 3.55-3.63, 2 In 3.55, 2 Li 3.63
4 La 0.5000 0.5000 0.0000  4 Li 3.59, 8 La 3.63
5 La 0.5000 0.5000 0.5000  8 La 3.59, 4 In 3.59
6 La 0.0000 0.5000 0.3753  8 La 3.59-3.60, 4 In 3.59-3.60
7 La 0.5000 0.5000 0.7500  8 La 3.55-3.60, 4 In 3.59
8 In 0.0000 0.0000 0.2500  12 La 3.55-3.60
9 La 0.5000 0.0000 0.3753  8 La 3.59-3.60, 4 In 3.59-3.60
10 La 0.0000 0.5000 0.6247  8 La 3.59-3.60, 4 In 3.59-3.60
11 In 0.0000 0.0000 0.5000  12 La 3.59
12 Li 0.0000 0.0000 0.0000  12 La 3.59-3.63
13 La 0.0000 0.5000 0.1278  8 La 3.55-3.63, 2 In 3.55, 2 Li 3.63
14 In 0.0000 0.0000 0.7500  12 La 3.55-3.60
15 La 0.0000 0.5000 0.8722  8 La 3.55-3.63, 2 In 3.55, 2 Li 3.63
16 La 0.5000 0.0000 0.8722  8 La 3.55-3.63, 2 In 3.55, 2 Li 3.63

energy of formation from the pure elements	-3.05	eV/f.u.
crystal system	tetragonal


Entry 4:
A geometry-optimized Ba2HSeCl structure, computed with PBE-GGA.

Cell: 5.3827 4.6966 5.3827 Å, 90.00 90.00 90.00°
Last column: nearest neighbours and their distance in Å.
Sites, in units of the cell vectors:
1 H 0.0000 0.0000 0.0000  2 Cl 2.35
2 Cl 0.0000 0.5000 0.0000  2 H 2.35
3 Se 0.5000 0.5000 0.5000  8 Ba 3.57, 4 Cl 3.81
4 Ba 0.5000 0.0000 0.0000  2 H 2.69
5 Ba 0.0000 0.0000 0.5000  2 H 2.69

crystal system	tetragonal


Entry 5:
A geometry-optimized AlReB4 structure, computed with PBE-GGA.

Cell: 2.9704 4.4975 6.7365 Å, 41.42 89.98 70.70°
Last column: nearest neighbours and their distance in Å.
Sites, in units of the cell vectors:
1 B 0.1650 0.1667 0.4083  3 B 1.69-1.73
2 Al 0.5006 0.4954 0.0019  12 B 2.36-2.45
3 B 0.8362 0.8241 0.0803  3 B 1.69-1.73
4 B 0.8362 0.8241 0.5954  3 B 1.69-1.73
5 B 0.1649 0.1667 0.9234  3 B 1.69-1.73
6 Re 0.5006 0.4954 0.5019  12 B 2.38-2.44

energy of formation from the pure elements	-0.04	eV/f.u.
crystal system	orthorhombic


Entry 6:
A geometry-optimized As3Ru structure, computed with PBE-GGA.

Cell: 4.6536 4.6536 5.1129 Å, 77.77 77.77 39.79°
Last column: nearest neighbours and their distance in Å.
Sites, in units of the cell vectors:
1 As 0.7284 0.7284 0.7853  3 Ru 2.59-2.83, 3 As 2.73-2.80
2 As 0.2716 0.2716 0.2147  3 Ru 2.59-2.83, 3 As 2.73-2.80
3 Ru 0.0000 0.0000 0.0000  6 As 2.59-2.83
4 As 0.5000 0.5000 0.5000  6 As 2.73-2.95, 4 Ru 3.01

energy of formation from the pure elements	0.88	eV/f.u.
crystal system	monoclinic
distance to the lowest polymorph of the same formula	0.2448	eV/atom


no.,VASP energy (eV per atom)
1,-9.814
2,-4.591
3,-4.519
4,-3.727
5,-7.157
6,-5.586